# 1
AcEu2Cu: optimized geometry, PBE.

The formation energy comes out at -0.009 eV/atom. Its total magnetic moment is 14.667 Bohr magnetons per cell. The symmetry is No. 123. For the offset from the most stable computed form, the calculation gives 0.0000 eV per atom. As for the calculated volume: 33.51 Å³ per atom.

The structure in extended XYZ format:
```
4
Lattice="3.7701 0.0000 0.0000 0.0000 3.7701 0.0000 0.0000 0.0000 9.4305" Properties=species:S:1:pos:R:3 pbc="T T T"
Ac 0.0000 0.0000 0.0000
Eu 1.8851 1.8851 2.9869
Eu 1.8851 1.8851 6.4436
Cu 0.0000 0.0000 4.7152
```

# 2
YTa2Os2: optimized geometry, PBE.

The formation energy comes out at 0.136 eV/atom. Its total magnetic moment is 0.989 Bohr magnetons per cell. The symmetry is No. 139. For the offset from the most stable computed form, the calculation gives 0.4510 eV per atom. As for the calculated volume: 21.01 Å³ per atom.

The structure in extended XYZ format:
```
10
Lattice="4.3431 0.0000 0.0000 0.0000 4.3431 0.0000 0.0000 0.0000 11.1403" Properties=species:S:1:pos:R:3 pbc="T T T"
Y 0.0000 0.0000 0.0000
Y 2.1716 2.1716 5.5701
Ta 0.0000 0.0000 4.1525
Ta 0.0000 0.0000 6.9878
Ta 2.1716 2.1716 1.4177
Ta 2.1716 2.1716 9.7226
Os 0.0000 2.1716 2.7851
Os 0.0000 2.1716 8.3552
Os 2.1716 0.0000 2.7851
Os 2.1716 0.0000 8.3552
```

# 3
NaTb2CeTe4: optimized geometry, PBE.

Its total magnetic moment is 1.302 Bohr magnetons per cell. The symmetry is No. 10. For the uncorrected formation energy, the calculation gives -10.64 eV per formula unit. As for the calculated volume: 31.09 Å³ per atom.

The structure in extended XYZ format:
```
8
Lattice="7.6977 0.0000 0.0000 0.0000 4.4038 0.0000 -2.5210 0.0000 7.3381" Properties=species:S:1:pos:R:3 pbc="T T T"
Na 0.0000 0.0000 0.0000
Tb -1.2605 2.2019 3.6691
Tb 2.5884 0.0000 3.6691
Ce 3.8489 2.2019 0.0000
Te 0.0095 0.0000 5.4470
Te 1.2817 2.2019 1.8953
Te 3.8950 2.2019 5.4428
Te 5.1673 0.0000 1.8911
```

# 4
SmEuGaIr: optimized geometry, PBE.

The formation energy comes out at -0.463 eV/atom. Its total magnetic moment is 27.288 Bohr magnetons per cell. The symmetry is No. 216. As for the calculated volume: 23.01 Å³ per atom.

The structure in extended XYZ format:
```
16
Lattice="7.1673 0.0000 0.0000 0.0000 7.1673 0.0000 0.0000 0.0000 7.1673" Properties=species:S:1:pos:R:3 pbc="T T T"
Sm 0.0000 0.0000 0.0000
Sm 0.0000 3.5836 3.5836
Sm 3.5836 0.0000 3.5836
Sm 3.5836 3.5836 0.0000
Eu 0.0000 0.0000 3.5836
Eu 0.0000 3.5836 0.0000
Eu 3.5836 0.0000 0.0000
Eu 3.5836 3.5836 3.5836
Ga 1.7918 1.7918 1.7918
Ga 1.7918 5.3755 5.3755
Ga 5.3755 1.7918 5.3755
Ga 5.3755 5.3755 1.7918
Ir 1.7918 1.7918 5.3755
Ir 1.7918 5.3755 1.7918
Ir 5.3755 1.7918 1.7918
Ir 5.3755 5.3755 5.3755
```

# 5
AlCrReMo: optimized geometry, PBE.

The formation energy comes out at -0.070 eV/atom. Its total magnetic moment is 8.183 Bohr magnetons per cell. The symmetry is No. 216. As for the calculated volume: 14.50 Å³ per atom.

The structure in extended XYZ format:
```
16
Lattice="6.1449 0.0000 0.0000 0.0000 6.1449 0.0000 0.0000 0.0000 6.1449" Properties=species:S:1:pos:R:3 pbc="T T T"
Al 0.0000 0.0000 0.0000
Al 0.0000 3.0725 3.0725
Al 3.0725 0.0000 3.0725
Al 3.0725 3.0725 0.0000
Cr 1.5362 1.5362 1.5362
Cr 1.5362 4.6087 4.6087
Cr 4.6087 1.5362 4.6087
Cr 4.6087 4.6087 1.5362
Re 1.5362 1.5362 4.6087
Re 1.5362 4.6087 1.5362
Re 4.6087 1.5362 1.5362
Re 4.6087 4.6087 4.6087
Mo 0.0000 0.0000 3.0725
Mo 0.0000 3.0725 0.0000
Mo 3.0725 0.0000 0.0000
Mo 3.0725 3.0725 3.0725
```

# 6
Ce4Tm3Te8: optimized geometry, PBE.

Its total magnetic moment is 2.642 Bohr magnetons per cell. The symmetry is No. 166. For the uncorrected formation energy, the calculation gives -16.83 eV per formula unit. As for the calculated volume: 35.93 Å³ per atom.

The structure in extended XYZ format:
```
15
Lattice="4.3559 2.5149 8.2006 -4.3559 2.5149 8.2006 0.0000 -5.0298 8.2006" Properties=species:S:1:pos:R:3 pbc="T T T"
Ce 0.0000 0.0000 0.0000
Ce 0.0000 0.0000 3.5221
Ce 0.0000 0.0000 12.3009
Ce 0.0000 0.0000 21.0796
Tm -2.1780 -1.2575 8.2006
Tm -2.1780 1.2575 16.4012
Tm 0.0000 2.5149 8.2006
Te 0.0000 -2.4067 10.0796
Te -2.0842 1.2033 10.0796
Te 0.0000 0.0000 6.6009
Te -2.0842 -1.2033 14.5222
Te 2.0842 1.2033 10.0796
Te 0.0000 0.0000 18.0009
Te 2.0842 -1.2033 14.5222
Te 0.0000 2.4067 14.5222
```

- Which formula does entry 1 have?
  AcEu2Cu

- What is the calculated volume in the fifth record?
  14.50 Å³ per atom